Version 1
DFT (PBE-GGA) results for Cr3CoP after structural relaxation.

a = 4.3083 Å, b = 4.3083 Å, c = 4.3083 Å
α = 90.00°, β = 90.00°, γ = 90.00°
Element x y z (fractional)
Cr1 0.0000 0.0000 0.5000
Cr2 0.0000 0.5000 0.0000
Cr3 0.5000 0.0000 0.0000
Co1 0.0000 0.0000 0.0000
P1 0.5000 0.5000 0.5000

SG = Pm-3m, No. 221
Fermi-level density of states = 1.31 states/eV per atom
Total magnetization = 1.284 μB per atom
Calculated volume = 80 Å³ per cell

***

Version 2
DFT (PBE-GGA) results for Cr3CoP after structural relaxation.

a = 4.1873 Å, b = 4.1873 Å, c = 4.1873 Å
α = 90.00°, β = 90.00°, γ = 90.00°
Element x y z (fractional)
Cr1 0.0000 0.0000 0.5000
Cr2 0.0000 0.5000 0.0000
Cr3 0.5000 0.0000 0.0000
Co1 0.5000 0.5000 0.5000
P1 0.0000 0.0000 0.0000

SG = Pm-3m, No. 221
Fermi-level density of states = 1.59 states/eV per atom
Total magnetization = 0.993 μB per atom
Calculated volume = 73 Å³ per cell

***

Tell me which of them is the most stable. Sure, it is version 2.

***

Version 1
DFT (PBE-GGA) results for PaCrCo after structural relaxation.

a = 4.0437 Å, b = 4.0437 Å, c = 3.6428 Å
α = 90.00°, β = 90.00°, γ = 120.00°
Element x y z (fractional)
Pa1 0.0000 0.0000 0.0000
Cr1 0.6667 0.3333 0.5000
Co1 0.3333 0.6667 0.5000

SG = P-6m2, No. 187
Fermi-level density of states = 0.98 states/eV per atom
Total magnetization = 0.668 μB per atom
Calculated volume = 52 Å³ per cell

***

Version 2
DFT (PBE-GGA) results for PaCrCo after structural relaxation.

a = 6.0632 Å, b = 5.1907 Å, c = 4.8235 Å
α = 74.42°, β = 55.55°, γ = 50.02°
Element x y z (fractional)
Pa1 0.1559 0.1559 0.8441
Pa2 0.8441 0.8441 0.1559
Cr1 0.2500 0.2500 0.2500
Cr2 0.7500 0.7500 0.7500
Co1 0.3207 0.6793 0.3207
Co2 0.6793 0.3207 0.6793

SG = Fmmm, No. 69
Fermi-level density of states = 1.72 states/eV per atom
Total magnetization = 0.330 μB per atom
Calculated volume = 95 Å³ per cell

***

Tell me which of them is the most stable. Sure, it is version 1.

***

Version 1
DFT (PBE-GGA) results for Cr3CoPb after structural relaxation.

a = 5.1901 Å, b = 5.1901 Å, c = 5.1901 Å
α = 90.00°, β = 90.00°, γ = 90.00°
Element x y z (fractional)
Cr1 0.0000 0.0000 0.5000
Cr2 0.0000 0.5000 0.0000
Cr3 0.5000 0.0000 0.0000
Co1 0.5000 0.5000 0.5000
Pb1 0.0000 0.0000 0.0000

SG = Pm-3m, No. 221
Fermi-level density of states = 2.03 states/eV per atom
Total magnetization = 3.020 μB per atom
Calculated volume = 140 Å³ per cell

***

Version 2
DFT (PBE-GGA) results for Cr3CoPb after structural relaxation.

a = 4.4375 Å, b = 4.4375 Å, c = 4.4375 Å
α = 90.00°, β = 90.00°, γ = 90.00°
Element x y z (fractional)
Cr1 0.0000 0.0000 0.5000
Cr2 0.0000 0.5000 0.0000
Cr3 0.5000 0.0000 0.0000
Co1 0.0000 0.0000 0.0000
Pb1 0.5000 0.5000 0.5000

SG = Pm-3m, No. 221
Fermi-level density of states = 1.45 states/eV per atom
Total magnetization = 1.307 μB per atom
Calculated volume = 87 Å³ per cell

***

Tell me which of them is the most stable. Sure, it is version 2.

***

Version 1
DFT (PBE-GGA) results for CrCoPb2 after structural relaxation.

a = 4.0689 Å, b = 4.0689 Å, c = 9.6330 Å
α = 90.00°, β = 90.00°, γ = 90.00°
Element x y z (fractional)
Cr1 0.0000 0.0000 0.0000
Cr2 0.5000 0.5000 0.5000
Co1 0.0000 0.5000 0.2500
Co2 0.5000 0.0000 0.7500
Pb1 0.0000 0.0000 0.5000
Pb2 0.0000 0.5000 0.7500
Pb3 0.5000 0.0000 0.2500
Pb4 0.5000 0.5000 0.0000

SG = I-4m2, No. 119
Fermi-level density of states = 1.42 states/eV per atom
Total magnetization = 1.116 μB per atom
Calculated volume = 159 Å³ per cell

***

Version 2
DFT (PBE-GGA) results for CrCoPb2 after structural relaxation.

a = 6.9529 Å, b = 6.9529 Å, c = 6.9529 Å
α = 90.00°, β = 90.00°, γ = 90.00°
Element x y z (fractional)
Cr1 0.0000 0.0000 0.0000
Cr2 0.0000 0.5000 0.5000
Cr3 0.5000 0.0000 0.5000
Cr4 0.5000 0.5000 0.0000
Co1 0.2500 0.2500 0.2500
Co2 0.2500 0.7500 0.7500
Co3 0.7500 0.2500 0.7500
Co4 0.7500 0.7500 0.2500
Pb1 0.0000 0.0000 0.5000
Pb2 0.0000 0.5000 0.0000
Pb3 0.2500 0.2500 0.7500
Pb4 0.2500 0.7500 0.2500
Pb5 0.5000 0.0000 0.0000
Pb6 0.5000 0.5000 0.5000
Pb7 0.7500 0.2500 0.2500
Pb8 0.7500 0.7500 0.7500

SG = F-43m, No. 216
Fermi-level density of states = 1.12 states/eV per atom
Total magnetization = 0.770 μB per atom
Calculated volume = 336 Å³ per cell

***

Version 3
DFT (PBE-GGA) results for CrCoPb2 after structural relaxation.

a = 3.1803 Å, b = 3.1803 Å, c = 8.3314 Å
α = 90.00°, β = 90.00°, γ = 90.00°
Element x y z (fractional)
Cr1 0.0000 0.0000 0.0000
Co1 0.5000 0.5000 0.8736
Pb1 0.0000 0.0000 0.6424
Pb2 0.5000 0.5000 0.2418

SG = P4mm, No. 99
Fermi-level density of states = 0.75 states/eV per atom
Total magnetization = 0.844 μB per atom
Calculated volume = 84 Å³ per cell

***

Tell me which of them is the most stable. Sure, it is version 3.

***

Version 1
DFT (PBE-GGA) results for CrCoPb2 after structural relaxation.

a = 3.4000 Å, b = 3.4000 Å, c = 25.3617 Å
α = 90.00°, β = 90.00°, γ = 120.00°
Element x y z (fractional)
Cr1 0.0000 0.0000 0.0000
Cr2 0.3333 0.6667 0.6667
Cr3 0.6667 0.3333 0.3333
Co1 0.0000 0.0000 0.5000
Co2 0.3333 0.6667 0.1667
Co3 0.6667 0.3333 0.8333
Pb1 0.0000 0.0000 0.2425
Pb2 0.0000 0.0000 0.7575
Pb3 0.3333 0.6667 0.4242
Pb4 0.3333 0.6667 0.9091
Pb5 0.6667 0.3333 0.0909
Pb6 0.6667 0.3333 0.5758

SG = R-3m, No. 166
Fermi-level density of states = 1.01 states/eV per atom
Total magnetization = 1.384 μB per atom
Calculated volume = 254 Å³ per cell

***

Version 2
DFT (PBE-GGA) results for CrCoPb2 after structural relaxation.

a = 3.2126 Å, b = 3.2126 Å, c = 28.4501 Å
α = 90.00°, β = 90.00°, γ = 120.00°
Element x y z (fractional)
Cr1 0.0000 0.0000 0.0000
Cr2 0.3333 0.6667 0.6667
Cr3 0.6667 0.3333 0.3333
Co1 0.0000 0.0000 0.7206
Co2 0.3333 0.6667 0.3872
Co3 0.6667 0.3333 0.0539
Pb1 0.0000 0.0000 0.2477
Pb2 0.0000 0.0000 0.4639
Pb3 0.3333 0.6667 0.1306
Pb4 0.3333 0.6667 0.9144
Pb5 0.6667 0.3333 0.5810
Pb6 0.6667 0.3333 0.7973

SG = R3m, No. 160
Fermi-level density of states = 1.19 states/eV per atom
Total magnetization = 0.918 μB per atom
Calculated volume = 254 Å³ per cell

***

Version 3
DFT (PBE-GGA) results for CrCoPb2 after structural relaxation.

a = 3.2027 Å, b = 4.4233 Å, c = 11.6261 Å
α = 90.00°, β = 90.00°, γ = 90.00°
Element x y z (fractional)
Cr1 0.0000 0.0000 0.0000
Cr2 0.5000 0.5000 0.5000
Co1 0.0000 0.5000 0.6727
Co2 0.5000 0.0000 0.1727
Pb1 0.0000 0.0000 0.3943
Pb2 0.0000 0.5000 0.1744
Pb3 0.5000 0.0000 0.6744
Pb4 0.5000 0.5000 0.8943

SG = Imm2, No. 44
Fermi-level density of states = 0.99 states/eV per atom
Total magnetization = 1.064 μB per atom
Calculated volume = 165 Å³ per cell

***

Tell me which of them is the most stable. Sure, it is version 3.

***

Version 1
DFT (PBE-GGA) results for CrCoPb2 after structural relaxation.

a = 3.3889 Å, b = 3.3889 Å, c = 7.1522 Å
α = 90.00°, β = 90.00°, γ = 90.00°
Element x y z (fractional)
Cr1 0.0000 0.0000 0.0000
Co1 0.0000 0.0000 0.5000
Pb1 0.5000 0.5000 0.2714
Pb2 0.5000 0.5000 0.7286

SG = P4/mmm, No. 123
Fermi-level density of states = 0.58 states/eV per atom
Total magnetization = 1.389 μB per atom
Calculated volume = 82 Å³ per cell

***

Version 2
DFT (PBE-GGA) results for CrCoPb2 after structural relaxation.

a = 6.7818 Å, b = 6.7818 Å, c = 6.7818 Å
α = 90.00°, β = 90.00°, γ = 90.00°
Element x y z (fractional)
Cr1 0.0000 0.0000 0.0000
Cr2 0.0000 0.5000 0.5000
Cr3 0.5000 0.0000 0.5000
Cr4 0.5000 0.5000 0.0000
Co1 0.0000 0.0000 0.5000
Co2 0.0000 0.5000 0.0000
Co3 0.5000 0.0000 0.0000
Co4 0.5000 0.5000 0.5000
Pb1 0.2500 0.2500 0.2500
Pb2 0.2500 0.2500 0.7500
Pb3 0.2500 0.7500 0.2500
Pb4 0.2500 0.7500 0.7500
Pb5 0.7500 0.2500 0.2500
Pb6 0.7500 0.2500 0.7500
Pb7 0.7500 0.7500 0.2500
Pb8 0.7500 0.7500 0.7500

SG = Fm-3m, No. 225
Fermi-level density of states = 1.29 states/eV per atom
Total magnetization = 0.893 μB per atom
Calculated volume = 312 Å³ per cell

***

Tell me which of them is the most stable. Sure, it is version 1.

***

Version 1
DFT (PBE-GGA) results for CrCoPb after structural relaxation.

a = 5.9467 Å, b = 5.9467 Å, c = 5.9467 Å
α = 90.00°, β = 90.00°, γ = 90.00°
Element x y z (fractional)
Cr1 0.0000 0.0000 0.0000
Cr2 0.0000 0.5000 0.5000
Cr3 0.5000 0.0000 0.5000
Cr4 0.5000 0.5000 0.0000
Co1 0.2500 0.2500 0.7500
Co2 0.2500 0.7500 0.2500
Co3 0.7500 0.2500 0.2500
Co4 0.7500 0.7500 0.7500
Pb1 0.0000 0.0000 0.5000
Pb2 0.0000 0.5000 0.0000
Pb3 0.5000 0.0000 0.0000
Pb4 0.5000 0.5000 0.5000

SG = F-43m, No. 216
Fermi-level density of states = 1.36 states/eV per atom
Total magnetization = 0.405 μB per atom
Calculated volume = 210 Å³ per cell

***

Version 2
DFT (PBE-GGA) results for CrCoPb after structural relaxation.

a = 3.0816 Å, b = 3.0816 Å, c = 10.6335 Å
α = 90.00°, β = 90.00°, γ = 90.00°
Element x y z (fractional)
Cr1 0.0000 0.0000 0.0000
Cr2 0.5000 0.5000 0.5000
Co1 0.0000 0.0000 0.3901
Co2 0.5000 0.5000 0.8901
Pb1 0.0000 0.0000 0.7074
Pb2 0.5000 0.5000 0.2074

SG = I4mm, No. 107
Fermi-level density of states = 1.19 states/eV per atom
Total magnetization = 1.032 μB per atom
Calculated volume = 101 Å³ per cell

***

Version 3
DFT (PBE-GGA) results for CrCoPb after structural relaxation.

a = 3.7854 Å, b = 3.7854 Å, c = 4.1700 Å
α = 90.00°, β = 90.00°, γ = 120.00°
Element x y z (fractional)
Cr1 0.0000 0.0000 0.0000
Co1 0.3333 0.6667 0.8900
Pb1 0.6667 0.3333 0.4672

SG = P3m1, No. 156
Fermi-level density of states = 0.86 states/eV per atom
Total magnetization = 0.340 μB per atom
Calculated volume = 52 Å³ per cell

***

Tell me which of them is the most stable. Sure, it is version 1.

***

Version 1
DFT (PBE-GGA) results for Cr2CoPd after structural relaxation.

a = 3.5476 Å, b = 3.5476 Å, c = 16.9734 Å
α = 90.00°, β = 90.00°, γ = 90.00°
Element x y z (fractional)
Cr1 0.1991 0.2500 0.1250
Cr2 0.2500 0.6991 0.3750
Cr3 0.2500 0.8009 0.8750
Cr4 0.3009 0.2500 0.6250
Cr5 0.6991 0.7500 0.6250
Cr6 0.7500 0.1991 0.8750
Cr7 0.7500 0.3009 0.3750
Cr8 0.8009 0.7500 0.1250
Co1 0.0000 0.0000 0.0000
Co2 0.0000 0.5000 0.2500
Co3 0.5000 0.0000 0.7500
Co4 0.5000 0.5000 0.5000
Pd1 0.0000 0.0000 0.5000
Pd2 0.0000 0.5000 0.7500
Pd3 0.5000 0.0000 0.2500
Pd4 0.5000 0.5000 0.0000

SG = I-42d, No. 122
Fermi-level density of states = 1.46 states/eV per atom
Total magnetization = 0.138 μB per atom
Calculated volume = 214 Å³ per cell

***

Version 2
DFT (PBE-GGA) results for Cr2CoPd after structural relaxation.

a = 5.9819 Å, b = 5.9819 Å, c = 5.9819 Å
α = 90.00°, β = 90.00°, γ = 90.00°
Element x y z (fractional)
Cr1 0.2500 0.2500 0.2500
Cr2 0.2500 0.2500 0.7500
Cr3 0.2500 0.7500 0.2500
Cr4 0.2500 0.7500 0.7500
Cr5 0.7500 0.2500 0.2500
Cr6 0.7500 0.2500 0.7500
Cr7 0.7500 0.7500 0.2500
Cr8 0.7500 0.7500 0.7500
Co1 0.0000 0.0000 0.0000
Co2 0.0000 0.5000 0.5000
Co3 0.5000 0.0000 0.5000
Co4 0.5000 0.5000 0.0000
Pd1 0.0000 0.0000 0.5000
Pd2 0.0000 0.5000 0.0000
Pd3 0.5000 0.0000 0.0000
Pd4 0.5000 0.5000 0.5000

SG = Fm-3m, No. 225
Fermi-level density of states = 1.05 states/eV per atom
Total magnetization = 1.728 μB per atom
Calculated volume = 214 Å³ per cell

***

Tell me which of them is the most stable. Sure, it is version 2.